Entry 1:
## Mn2IrOs (PBE-GGA)

Data for a geometry-optimized Mn2IrOs structure.

- excess energy over the best structure of this formula in the dataset (eV per atom) = 0.000
- formation energy (eV per atom) = -0.114
- calculated volume (Å³ per cell) = 53.0
- raw total energy (eV/cell) = -38.89

Cell: 4.6293 4.6293 4.6293 Å, 132.47 132.47 69.49°
With the nearest neighbours (Å) after each atom.
Element x y z (fractional)
Mn: 0.0000 0.0000 0.0000  4 Ir 2.64, 4 Mn 2.66, 4 Os 2.66
Mn: 0.7500 0.2500 0.5000  4 Os 2.64, 4 Mn 2.66, 4 Ir 2.66
Ir: 0.5000 0.5000 0.0000  8 Mn 2.64-2.66, 4 Os 2.66
Os: 0.2500 0.7500 0.5000  8 Mn 2.64-2.66, 4 Ir 2.66



Entry 2:
## HgTe2Se (PBE-GGA)

Data for a geometry-optimized HgTe2Se structure.

- excess energy over the best structure of this formula in the dataset (eV per atom) = 0.068
- calculated volume (Å³ per cell) = 119.2
- raw total energy (eV/cell) = -9.78
- E_form (uncorrected) (eV/atom) = 0.073

Cell: 3.3501 4.1895 8.4961 Å, 90.00 90.36 90.00°
With the nearest neighbours (Å) after each atom.
Element x y z (fractional)
Hg: 0.0000 0.0000 0.0000  4 Te 3.10, 2 Hg 3.35
Te: 0.9996 0.5000 0.2684  2 Se 2.87, 2 Hg 3.10
Te: 0.0004 0.5000 0.7316  2 Se 2.87, 2 Hg 3.10
Se: 0.0000 0.0000 0.5000  4 Te 2.87



Entry 3:
## Th2Al3CdAg4 (PBE-GGA)

Data for a geometry-optimized Th2Al3CdAg4 structure.

- formation energy (eV per atom) = -0.215
- calculated volume (Å³ per cell) = 215.1
- raw total energy (eV/cell) = -40.53

Cell: 4.4323 4.4323 10.9475 Å, 90.00 90.00 90.00°
With the nearest neighbours (Å) after each atom.
Element x y z (fractional)
Th: 0.0000 0.5000 0.2409  6 Al 3.36-3.60, 8 Ag 3.38-3.44, 2 Cd 3.60
Th: 0.5000 0.0000 0.7591  6 Al 3.36-3.60, 8 Ag 3.38-3.44, 2 Cd 3.60
Al: 0.0000 0.5000 0.8702  5 Ag 2.48-2.63
Al: 0.5000 0.0000 0.1298  5 Ag 2.48-2.63
Al: 0.5000 0.5000 0.5000  4 Ag 2.71
Cd: 0.0000 0.0000 0.5000  4 Ag 2.71
Ag: 0.0000 0.0000 0.0000  4 Al 2.63
Ag: 0.0000 0.5000 0.6433  3 Al 2.48-2.71, 2 Cd 2.71
Ag: 0.5000 0.0000 0.3567  3 Al 2.48-2.71, 2 Cd 2.71
Ag: 0.5000 0.5000 0.0000  4 Al 2.63



Question: Which value of raw total energy does entry 1 give?
Answer: -38.89 eV/cell



Question: Among the records above, which one has the lowest raw total energy?
Answer: Th2Al3CdAg4



Question: What is the raw total energy in the first record?
Answer: -38.89 eV/cell



Question: Among the records above, which one has the lowest calculated volume?
Answer: Mn2IrOs